VASP calculation (GGA+U) on a relaxed structure of UMnIn2O8.

Values from the calculation:
Crystal system = orthorhombic
Final energy = -87.351 eV per cell
Symmetry = Cmmm
ρ = 6.96 g cm⁻³

abc: 4.900 4.900 6.468
angles: 90.00 90.00 92.00
Atoms (fractional coordinates):
U (0.000, 0.000, 0.000)
Mn (0.000, 0.000, 0.500)
In (0.500, 0.500, 0.265)
In (0.500, 0.500, 0.735)
O (0.179, 0.821, 0.262)
O (0.179, 0.821, 0.738)
O (0.283, 0.283, 0.500)
O (0.303, 0.303, 0.000)
O (0.697, 0.697, 0.000)
O (0.717, 0.717, 0.500)
O (0.821, 0.179, 0.262)
O (0.821, 0.179, 0.738)